(i)
Here is a geometry-optimized TbMnS3 structure from Alexandria. Energies are from PBE.

calculated volume = 20.7 Å³ per atom
calculated density = 4.98 g/cm3

Cell: 7.118 6.653 8.752 Å, 90.00 94.26 90.00°
Sites, in units of the cell vectors:
Tb 0.163 0.194 0.165
Tb 0.163 0.306 0.665
Tb 0.837 0.694 0.335
Tb 0.837 0.806 0.835
Mn 0.414 0.739 0.077
Mn 0.414 0.761 0.577
Mn 0.586 0.239 0.423
Mn 0.586 0.261 0.923
S 0.085 0.695 0.615
S 0.085 0.805 0.115
S 0.297 0.066 0.452
S 0.297 0.434 0.952
S 0.449 0.569 0.335
S 0.449 0.931 0.835
S 0.551 0.069 0.165
S 0.551 0.431 0.665
S 0.703 0.566 0.048
S 0.703 0.934 0.548
S 0.915 0.195 0.885
S 0.915 0.305 0.385


(ii)
Here is a geometry-optimized TbMnS3 structure from Alexandria. Energies are from PBE.

calculated volume = 18.4 Å³ per atom
calculated density = 5.58 g/cm3

Cell: 7.650 3.764 12.809 Å, 90.00 90.00 90.00°
Sites, in units of the cell vectors:
Tb 0.093 0.250 0.170
Tb 0.407 0.750 0.670
Tb 0.593 0.250 0.330
Tb 0.907 0.750 0.830
Mn 0.159 0.750 0.448
Mn 0.341 0.250 0.948
Mn 0.659 0.750 0.052
Mn 0.841 0.250 0.552
S 0.021 0.750 0.614
S 0.153 0.750 0.007
S 0.193 0.250 0.787
S 0.307 0.750 0.287
S 0.347 0.250 0.507
S 0.479 0.250 0.114
S 0.521 0.750 0.886
S 0.653 0.750 0.493
S 0.693 0.250 0.713
S 0.807 0.750 0.213
S 0.847 0.250 0.993
S 0.979 0.250 0.386


Relative calculated energies, zero for the most stable structure, unit eV/atom: (i) 0.048; (ii) 0.000.


(i)
Here is a geometry-optimized MnTcS2 structure from Alexandria. Energies are from PBE.

calculated volume = 16.6 Å³ per atom
calculated density = 5.43 g/cm3

Cell: 6.171 6.171 6.171 Å, 130.50 130.50 72.61°
Sites, in units of the cell vectors:
Mn 0.000 0.000 0.000
Mn 0.750 0.250 0.500
Tc 0.250 0.750 0.500
Tc 0.500 0.500 0.000
S 0.103 0.625 0.978
S 0.375 0.353 0.478
S 0.647 0.125 0.022
S 0.875 0.897 0.522


(ii)
Here is a geometry-optimized MnTcS2 structure from Alexandria. Energies are from PBE.

calculated volume = 14.7 Å³ per atom
calculated density = 6.15 g/cm3

Cell: 7.728 7.728 7.728 Å, 22.37 22.37 22.37°
Sites, in units of the cell vectors:
Mn 0.000 0.000 0.000
Tc 0.500 0.500 0.500
S 0.399 0.399 0.399
S 0.601 0.601 0.601


(iii)
Here is a geometry-optimized MnTcS2 structure from Alexandria. Energies are from PBE.

calculated volume = 12.3 Å³ per atom
calculated density = 7.33 g/cm3

Cell: 4.112 4.112 4.112 Å, 60.00 60.00 60.00°
Sites, in units of the cell vectors:
Mn 0.000 0.000 0.000
Tc 0.500 0.500 0.500
S 0.250 0.250 0.250
S 0.750 0.750 0.750


Relative calculated energies, zero for the most stable structure, unit eV/atom: (i) 0.000; (ii) 0.098; (iii) 0.231.


(i)
Here is a geometry-optimized MnTc3S structure from Alexandria. Energies are from PBE.

calculated volume = 17.3 Å³ per atom
calculated density = 7.31 g/cm3

Cell: 4.423 4.423 4.423 Å, 90.00 90.00 90.00°
Sites, in units of the cell vectors:
Mn 0.000 0.000 0.000
Tc 0.000 0.000 0.500
Tc 0.000 0.500 0.000
Tc 0.500 0.000 0.000
S 0.500 0.500 0.500


(ii)
Here is a geometry-optimized MnTc3S structure from Alexandria. Energies are from PBE.

calculated volume = 15.8 Å³ per atom
calculated density = 8.03 g/cm3

Cell: 4.287 4.287 4.287 Å, 90.00 90.00 90.00°
Sites, in units of the cell vectors:
Mn 0.000 0.000 0.000
Tc 0.000 0.500 0.500
Tc 0.500 0.000 0.500
Tc 0.500 0.500 0.000
S 0.500 0.500 0.500


Relative calculated energies, zero for the most stable structure, unit eV/atom: (i) 0.642; (ii) 0.000.


(i)
Here is a geometry-optimized Mn2TeS6 structure from Alexandria. Energies are from PBE.

calculated volume = 23.0 Å³ per atom
calculated density = 3.45 g/cm3

Cell: 8.303 8.303 7.715 Å, 108.73 108.73 24.32°
Sites, in units of the cell vectors:
Mn 0.171 0.171 0.342
Mn 0.829 0.829 0.658
Te 0.500 0.500 0.000
S 0.017 0.017 0.263
S 0.322 0.322 0.448
S 0.328 0.328 0.868
S 0.672 0.672 0.132
S 0.678 0.678 0.552
S 0.983 0.983 0.737


(ii)
Here is a geometry-optimized Mn2TeS6 structure from Alexandria. Energies are from PBE.

calculated volume = 20.1 Å³ per atom
calculated density = 3.94 g/cm3

Cell: 5.712 5.712 11.097 Å, 90.00 90.00 90.00°
Sites, in units of the cell vectors:
Mn 0.000 0.000 0.172
Mn 0.000 0.000 0.828
Mn 0.500 0.500 0.328
Mn 0.500 0.500 0.672
Te 0.000 0.000 0.500
Te 0.500 0.500 0.000
S 0.169 0.169 0.000
S 0.201 0.201 0.319
S 0.201 0.201 0.681
S 0.299 0.701 0.181
S 0.299 0.701 0.819
S 0.331 0.669 0.500
S 0.669 0.331 0.500
S 0.701 0.299 0.181
S 0.701 0.299 0.819
S 0.799 0.799 0.319
S 0.799 0.799 0.681
S 0.831 0.831 0.000


Relative calculated energies, zero for the most stable structure, unit eV/atom: (i) 0.000; (ii) 0.165.


(i)
Here is a geometry-optimized Mn2TeS structure from Alexandria. Energies are from PBE.

calculated volume = 14.2 Å³ per atom
calculated density = 7.88 g/cm3

Cell: 4.314 4.314 4.314 Å, 60.00 60.00 60.00°
Sites, in units of the cell vectors:
Mn 0.250 0.250 0.250
Mn 0.750 0.750 0.750
Te 0.000 0.000 0.000
S 0.500 0.500 0.500


(ii)
Here is a geometry-optimized Mn2TeS structure from Alexandria. Energies are from PBE.

calculated volume = 19.5 Å³ per atom
calculated density = 5.75 g/cm3

Cell: 6.701 6.701 6.701 Å, 32.64 32.64 32.64°
Sites, in units of the cell vectors:
Mn 0.236 0.236 0.236
Mn 0.764 0.764 0.764
Te 0.000 0.000 0.000
S 0.500 0.500 0.500


(iii)
Here is a geometry-optimized Mn2TeS structure from Alexandria. Energies are from PBE.

calculated volume = 19.0 Å³ per atom
calculated density = 5.89 g/cm3

Cell: 6.575 6.575 6.575 Å, 132.43 132.43 69.55°
Sites, in units of the cell vectors:
Mn 0.065 0.625 0.940
Mn 0.375 0.315 0.440
Mn 0.685 0.125 0.060
Mn 0.875 0.935 0.560
Te 0.250 0.750 0.500
Te 0.500 0.500 0.000
S 0.000 0.000 0.000
S 0.750 0.250 0.500


Relative calculated energies, zero for the most stable structure, unit eV/atom: (i) 0.666; (ii) 0.000; (iii) 0.380.


(i)
Here is a geometry-optimized TiMnS3 structure from Alexandria. Energies are from PBE.

calculated volume = 17.8 Å³ per atom
calculated density = 3.72 g/cm3

Cell: 4.464 4.464 4.464 Å, 90.00 90.00 90.00°
Sites, in units of the cell vectors:
Ti 0.000 0.000 0.000
Mn 0.500 0.500 0.500
S 0.000 0.500 0.500
S 0.500 0.000 0.500
S 0.500 0.500 0.000


(ii)
Here is a geometry-optimized TiMnS3 structure from Alexandria. Energies are from PBE.

calculated volume = 19.0 Å³ per atom
calculated density = 3.48 g/cm3

Cell: 6.271 6.271 6.109 Å, 99.38 99.38 122.74°
Sites, in units of the cell vectors:
Ti 0.159 0.841 0.000
Ti 0.841 0.159 0.000
Mn 0.342 0.658 0.500
Mn 0.658 0.342 0.500
S 0.059 0.428 0.753
S 0.256 0.256 0.232
S 0.428 0.059 0.753
S 0.572 0.941 0.247
S 0.744 0.744 0.768
S 0.941 0.572 0.247


Relative calculated energies, zero for the most stable structure, unit eV/atom: (i) 0.918; (ii) 0.000.


(i)
Here is a geometry-optimized TiMnS3 structure from Alexandria. Energies are from PBE.

calculated volume = 20.4 Å³ per atom
calculated density = 3.23 g/cm3

Cell: 4.676 4.676 4.676 Å, 90.00 90.00 90.00°
Sites, in units of the cell vectors:
Ti 0.000 0.000 0.000
Mn 0.500 0.500 0.500
S 0.000 0.000 0.500
S 0.000 0.500 0.000
S 0.500 0.000 0.000


(ii)
Here is a geometry-optimized TiMnS3 structure from Alexandria. Energies are from PBE.

calculated volume = 17.3 Å³ per atom
calculated density = 3.82 g/cm3

Cell: 6.551 6.551 6.551 Å, 54.48 54.48 54.48°
Sites, in units of the cell vectors:
Ti 0.165 0.165 0.165
Ti 0.835 0.835 0.835
Mn 0.338 0.338 0.338
Mn 0.662 0.662 0.662
S 0.074 0.425 0.747
S 0.253 0.926 0.575
S 0.425 0.747 0.074
S 0.575 0.253 0.926
S 0.747 0.074 0.425
S 0.926 0.575 0.253


Relative calculated energies, zero for the most stable structure, unit eV/atom: (i) 0.666; (ii) 0.000.


(i)
Here is a geometry-optimized Ti4MnS8 structure from Alexandria. Energies are from PBE.

calculated volume = 19.2 Å³ per atom
calculated density = 3.34 g/cm3

Cell: 3.428 3.428 24.561 Å, 90.00 90.00 120.00°
Sites, in units of the cell vectors:
Ti 0.000 0.000 0.123
Ti 0.000 0.000 0.374
Ti 0.000 0.000 0.626
Ti 0.000 0.000 0.877
Mn 0.000 0.000 0.000
S 0.333 0.667 0.060
S 0.333 0.667 0.317
S 0.333 0.667 0.568
S 0.333 0.667 0.821
S 0.667 0.333 0.179
S 0.667 0.333 0.432
S 0.667 0.333 0.683
S 0.667 0.333 0.940


(ii)
Here is a geometry-optimized Ti4MnS8 structure from Alexandria. Energies are from PBE.

calculated volume = 18.8 Å³ per atom
calculated density = 3.41 g/cm3

Cell: 7.230 7.230 7.230 Å, 56.36 56.36 56.36°
Sites, in units of the cell vectors:
Ti 0.000 0.000 0.000
Ti 0.000 0.500 0.500
Ti 0.500 0.000 0.500
Ti 0.500 0.500 0.000
Mn 0.500 0.500 0.500
S 0.247 0.247 0.748
S 0.247 0.748 0.247
S 0.252 0.753 0.753
S 0.256 0.256 0.256
S 0.744 0.744 0.744
S 0.748 0.247 0.247
S 0.753 0.252 0.753
S 0.753 0.753 0.252


Relative calculated energies, zero for the most stable structure, unit eV/atom: (i) 0.027; (ii) 0.000.


(i)
Here is a geometry-optimized TiMn2S4 structure from Alexandria. Energies are from PBE.

calculated volume = 19.3 Å³ per atom
calculated density = 3.51 g/cm3

Cell: 7.295 7.295 7.295 Å, 121.75 120.02 88.48°
Sites, in units of the cell vectors:
Ti 0.500 0.000 0.000
Ti 0.500 0.500 0.500
Mn 0.000 0.000 0.000
Mn 0.128 0.378 0.750
Mn 0.500 0.000 0.500
Mn 0.872 0.622 0.250
S 0.263 0.247 0.016
S 0.263 0.247 0.484
S 0.263 0.780 0.016
S 0.269 0.753 0.516
S 0.731 0.247 0.484
S 0.737 0.220 0.984
S 0.737 0.753 0.516
S 0.737 0.753 0.984


(ii)
Here is a geometry-optimized TiMn2S4 structure from Alexandria. Energies are from PBE.

calculated volume = 17.0 Å³ per atom
calculated density = 4.00 g/cm3

Cell: 6.121 6.121 11.965 Å, 90.00 90.00 148.01°
Sites, in units of the cell vectors:
Ti 0.129 0.871 0.750
Ti 0.871 0.129 0.250
Mn 0.371 0.629 0.572
Mn 0.371 0.629 0.928
Mn 0.629 0.371 0.072
Mn 0.629 0.371 0.428
S 0.000 0.000 0.000
S 0.000 0.000 0.500
S 0.279 0.721 0.119
S 0.279 0.721 0.381
S 0.474 0.526 0.750
S 0.526 0.474 0.250
S 0.721 0.279 0.619
S 0.721 0.279 0.881


Relative calculated energies, zero for the most stable structure, unit eV/atom: (i) 0.000; (ii) 0.071.


(i)
Here is a geometry-optimized MnTlS4 structure from Alexandria. Energies are from PBE.

calculated volume = 26.8 Å³ per atom
calculated density = 4.00 g/cm3

Cell: 6.908 7.581 7.697 Å, 112.74 110.02 101.86°
Sites, in units of the cell vectors:
Mn 0.207 0.421 0.034
Mn 0.793 0.579 0.966
Tl 0.268 0.785 0.579
Tl 0.732 0.215 0.421
S 0.039 0.299 0.202
S 0.181 0.757 0.095
S 0.218 0.254 0.715
S 0.442 0.456 0.691
S 0.558 0.544 0.309
S 0.782 0.746 0.285
S 0.819 0.243 0.905
S 0.961 0.701 0.798


(ii)
Here is a geometry-optimized MnTlS4 structure from Alexandria. Energies are from PBE.

calculated volume = 25.4 Å³ per atom
calculated density = 4.22 g/cm3

Cell: 7.667 7.667 6.671 Å, 99.92 99.92 52.34°
Sites, in units of the cell vectors:
Mn 0.056 0.056 0.184
Mn 0.944 0.944 0.816
Tl 0.283 0.283 0.814
Tl 0.717 0.717 0.186
S 0.131 0.729 0.518
S 0.214 0.214 0.218
S 0.253 0.747 0.000
S 0.271 0.869 0.482
S 0.729 0.131 0.518
S 0.747 0.253 0.000
S 0.786 0.786 0.782
S 0.869 0.271 0.482


Relative calculated energies, zero for the most stable structure, unit eV/atom: (i) 0.000; (ii) 0.042.